# 1
Ta2GaCo2 | meta-GGA SCAN | single point on PBEsol structure

Cell lengths 3.060, 6.755, 6.755 Å; angles 90.00, 90.00, 90.00 degrees
Positions (direct):
Ta1 0.500 0.828 0.328
Ta2 0.500 0.328 0.172
Ta3 0.500 0.172 0.672
Ta4 0.500 0.672 0.828
Co1 0.000 0.872 0.628
Co2 0.000 0.128 0.372
Co3 0.000 0.628 0.128
Co4 0.000 0.372 0.872
Ga1 0.000 0.000 0.000
Ga2 0.000 0.500 0.500

Properties
DFT total energy, eV per atom: -37.0217
Space-group type: P4/mbm (127)
DFT formation energy, meV per atom: -197
Magnetic moment, μB/cell: 0.00

***

# 2
Tb2Ga3Co14 | meta-GGA SCAN | single point on PBEsol structure

Cell lengths 6.237, 6.237, 6.237 Å; angles 82.74, 82.74, 82.74 degrees
Last column: magnetic moment on the atom in μB.
Positions (direct):
Tb1 0.333 0.333 0.333  -0.40
Tb2 0.659 0.659 0.659  -0.38
Co1 0.095 0.095 0.095  1.77
Co2 0.496 0.005 0.005  1.59
Co3 0.908 0.908 0.908  1.76
Co4 0.715 0.002 0.286  1.66
Co5 0.002 0.715 0.286  1.66
Co6 0.005 0.005 0.496  1.59
Co7 0.715 0.286 0.002  1.66
Co8 0.286 0.002 0.715  1.66
Co9 0.002 0.286 0.715  1.66
Co10 0.340 0.340 0.857  1.44
Co11 0.005 0.496 0.005  1.59
Co12 0.286 0.715 0.002  1.66
Co13 0.857 0.340 0.340  1.44
Co14 0.340 0.857 0.340  1.44
Ga1 0.651 0.155 0.651  -0.09
Ga2 0.155 0.651 0.651  -0.09
Ga3 0.651 0.651 0.155  -0.09

Properties
DFT total energy, eV per atom: -20.4140
Space-group type: R3m (160)
DFT formation energy, meV per atom: -160
Magnetic moment, μB/cell: 21.05

***

# 3
TbGa5Co | meta-GGA SCAN | single point on PBEsol structure

Cell lengths 4.152, 4.152, 6.732 Å; angles 90.00, 90.00, 90.00 degrees
Positions (direct):
Ga1 0.000 0.500 0.689
Ga2 0.500 0.000 0.689
Ga3 0.500 0.500 0.000
Ga4 0.500 0.000 0.311
Ga5 0.000 0.500 0.311
Tb1 0.000 0.000 0.000
Co1 0.000 0.000 0.500

Properties
DFT total energy, eV per atom: -21.3369
Space-group type: P4/mmm (123)
DFT formation energy, meV per atom: -509
Magnetic moment, μB/cell: 0.00

***

# 4
TbGa2Co3 | meta-GGA SCAN | single point on PBEsol structure

Cell lengths 3.726, 5.133, 5.133 Å; angles 120.00, 90.00, 90.00 degrees
Last column: magnetic moment on the atom in μB.
Positions (direct):
Co1 0.500 0.000 0.500  1.03
Co2 0.500 0.500 0.000  1.03
Co3 0.500 0.500 0.500  1.03
Ga1 0.000 0.333 0.667  -0.06
Ga2 0.000 0.667 0.333  -0.06
Tb1 0.000 0.000 0.000  -0.27

Properties
DFT total energy, eV per atom: -22.2195
Space-group type: P6/mmm (191)
DFT formation energy, meV per atom: -325
Magnetic moment, μB/cell: 2.55

***

# 5
TbGaCo | meta-GGA SCAN | single point on PBEsol structure

Cell lengths 4.026, 6.618, 7.584 Å; angles 90.00, 90.00, 90.00 degrees
Positions (direct):
Tb1 0.750 0.971 0.816
Tb2 0.750 0.471 0.684
Tb3 0.250 0.529 0.316
Tb4 0.250 0.029 0.184
Ga1 0.250 0.649 0.937
Ga2 0.250 0.149 0.563
Ga3 0.750 0.851 0.437
Ga4 0.750 0.351 0.063
Co1 0.250 0.272 0.879
Co2 0.250 0.772 0.621
Co3 0.750 0.228 0.379
Co4 0.750 0.728 0.121

Properties
DFT total energy, eV per atom: -27.2406
Space-group type: Pnma (62)
DFT formation energy, meV per atom: -436
Magnetic moment, μB/cell: 0.00

***

# 6
TbGaCo4 | meta-GGA SCAN | single point on PBEsol structure

Cell lengths 3.950, 8.425, 8.425 Å; angles 120.00, 90.00, 90.00 degrees
Last column: magnetic moment on the atom in μB.
Positions (direct):
Co1 0.000 0.324 0.000  1.42
Co2 0.000 0.000 0.676  1.42
Co3 0.500 0.322 0.161  1.50
Co4 0.000 0.676 0.676  1.42
Co5 0.500 0.161 0.322  1.50
Co6 0.500 0.839 0.678  1.50
Co7 0.500 0.839 0.161  1.50
Co8 0.000 0.324 0.324  1.42
Co9 0.000 0.676 0.000  1.42
Co10 0.000 0.000 0.324  1.42
Co11 0.500 0.678 0.839  1.50
Co12 0.500 0.161 0.839  1.50
Tb1 0.000 0.000 0.000  -0.33
Tb2 0.000 0.667 0.333  -0.33
Tb3 0.000 0.333 0.667  -0.33
Ga1 0.500 0.500 0.000  -0.09
Ga2 0.500 0.500 0.500  -0.09
Ga3 0.500 0.000 0.500  -0.09

Properties
DFT total energy, eV per atom: -22.2785
Space-group type: P6/mmm (191)
DFT formation energy, meV per atom: -224
Magnetic moment, μB/cell: 15.81

***

# 7
Tb2Ga8Co | meta-GGA SCAN | single point on PBEsol structure

Cell lengths 4.167, 4.167, 10.970 Å; angles 90.00, 90.00, 90.00 degrees
Positions (direct):
Ga1 0.000 0.500 0.116
Ga2 0.500 0.000 0.884
Ga3 0.500 0.500 0.305
Ga4 0.500 0.500 0.695
Ga5 0.000 0.500 0.500
Ga6 0.500 0.000 0.500
Ga7 0.000 0.500 0.884
Ga8 0.500 0.000 0.116
Tb1 0.000 0.000 0.306
Tb2 0.000 0.000 0.694
Co1 0.000 0.000 0.000

Properties
DFT total energy, eV per atom: -22.5058
Space-group type: P4/mmm (123)
DFT formation energy, meV per atom: -542
Magnetic moment, μB/cell: 0.00

***

# 8
Tb4Ga16Co3 | meta-GGA SCAN | single point on PBEsol structure

Cell lengths 5.933, 5.933, 10.938 Å; angles 90.00, 90.00, 90.00 degrees
Positions (direct):
Ga1 0.250 0.750 0.385
Ga2 0.750 0.250 0.385
Ga3 0.750 0.750 0.385
Ga4 0.500 0.500 0.805
Ga5 0.720 0.280 0.000
Ga6 0.250 0.250 0.385
Ga7 0.500 0.500 0.195
Ga8 0.280 0.280 0.000
Ga9 0.000 0.000 0.218
Ga10 0.250 0.750 0.615
Ga11 0.750 0.750 0.615
Ga12 0.750 0.250 0.615
Ga13 0.280 0.720 0.000
Ga14 0.000 0.000 0.782
Ga15 0.250 0.250 0.615
Ga16 0.720 0.720 0.000
Tb1 0.500 0.000 0.805
Tb2 0.000 0.500 0.805
Tb3 0.000 0.500 0.195
Tb4 0.500 0.000 0.195
Co1 0.500 0.000 0.500
Co2 0.000 0.000 0.000
Co3 0.000 0.500 0.500

Properties
DFT total energy, eV per atom: -22.3318
Space-group type: P4/mmm (123)
DFT formation energy, meV per atom: -571
Magnetic moment, μB/cell: 0.00

***

# 9
TiGa5Co | meta-GGA SCAN | single point on PBEsol structure

Cell lengths 4.011, 4.011, 6.412 Å; angles 90.00, 90.00, 90.00 degrees
Positions (direct):
Ga1 0.500 0.000 0.703
Ga2 0.500 0.000 0.297
Ga3 0.000 0.500 0.297
Ga4 0.500 0.500 0.000
Ga5 0.000 0.500 0.703
Co1 0.000 0.000 0.500
Ti1 0.000 0.000 0.000

Properties
DFT total energy, eV per atom: -16.8193
Space-group type: P4/mmm (123)
DFT formation energy, meV per atom: -381
Magnetic moment, μB/cell: 0.00

***

# 10
Ti3GaCo | meta-GGA SCAN | single point on PBEsol structure

Cell lengths 4.409, 4.409, 4.409 Å; angles 90.00, 90.00, 90.00 degrees
Positions (direct):
Ti1 0.000 0.500 0.000
Ti2 0.500 0.000 0.000
Ti3 0.000 0.000 0.500
Co1 0.000 0.000 0.000
Ga1 0.500 0.500 0.500

Properties
DFT total energy, eV per atom: -16.2527
Space-group type: Pm-3m (221)
DFT formation energy, meV per atom: 95
Magnetic moment, μB/cell: 0.00